The following is a PBE+U calculation of a relaxed Sr2GdCoCu2O7 crystal, from Alexandria via LeMat-Bulk.

a b c (Å): 12.212 12.212 12.212
angles (deg): 37.01 153.88 154.25
Fractional positions:
Sr (0.012, 0.153, 0.165)
Sr (0.012, 0.347, 0.360)
Sr (0.988, 0.653, 0.640)
Sr (0.988, 0.847, 0.835)
Gd (0.002, 0.002, 0.000)
Gd (0.002, 0.502, 0.500)
Co (0.402, 0.716, 0.186)
Co (0.530, 0.216, 0.814)
Cu (0.502, 0.576, 0.073)
Cu (0.502, 0.929, 0.426)
Cu (0.503, 0.076, 0.574)
Cu (0.503, 0.429, 0.927)
O (0.003, 0.187, 0.689)
O (0.003, 0.319, 0.815)
O (0.003, 0.688, 0.183)
O (0.003, 0.814, 0.316)
O (0.221, 0.859, 0.862)
O (0.486, 0.198, 0.640)
O (0.486, 0.346, 0.788)
O (0.498, 0.314, 0.311)
O (0.498, 0.687, 0.684)
O (0.505, 0.188, 0.185)
O (0.505, 0.819, 0.817)
O (0.558, 0.698, 0.212)
O (0.558, 0.846, 0.360)
O (0.997, 0.359, 0.138)

Calculated values
The calculation puts the density of states at the Fermi level at 4.2 states/eV/cell. For the calculated volume, the calculation gives 13.38 A^3/atom. The total energy is -6.961 eV/atom.